VASP calculation (PBE-GGA) on an optimized crystal structure of TbPr2DyTl2.

Its formation enthalpy at 0 K is -1.6 eV/f.u. Its raw total energy is -50.3 eV for the cell shown.

Cell: 5.181 10.281 6.907 Å, 90.00 90.00 90.00°
Fractional positions:
Tb (0.000, 0.041, 0.000)
Tb (0.000, 0.959, 0.500)
Pr (0.000, 0.313, 0.367)
Pr (0.000, 0.687, 0.867)
Pr (0.500, 0.456, 0.100)
Pr (0.500, 0.544, 0.600)
Dy (0.500, 0.184, 0.720)
Dy (0.500, 0.816, 0.220)
Tl (0.000, 0.354, 0.839)
Tl (0.000, 0.646, 0.339)
Tl (0.500, 0.124, 0.256)
Tl (0.500, 0.876, 0.756)